Below is a geometry-optimized Ac3InGe3 structure, with properties calculated at the GGA-PBE level.

Summary:
- SG = P6_3/m, No. 176
- excess energy over the best structure of this formula in the dataset (eV per atom) = 0.061
- DFT total energy (eV/cell) = -65.60

Cell lengths 6.521, 9.339, 9.339 Å; angles 120.00, 90.00, 90.00 degrees
Element x y z (fractional)
Ac 0.750 0.697 0.636
Ac 0.750 0.364 0.061
Ac 0.750 0.939 0.303
Ac 0.250 0.303 0.364
Ac 0.250 0.636 0.939
Ac 0.250 0.061 0.697
In 0.250 0.667 0.333
In 0.750 0.333 0.667
Ge 0.250 0.693 0.635
Ge 0.250 0.365 0.058
Ge 0.250 0.942 0.307
Ge 0.750 0.307 0.365
Ge 0.750 0.635 0.942
Ge 0.750 0.058 0.693

Below is a geometry-optimized Ac5InGe4 structure, with properties calculated at the GGA-PBE level.

Summary:
- SG = P4/mmm, No. 123
- DFT total energy (eV/cell) = -46.93

Cell lengths 3.760, 3.760, 21.540 Å; angles 90.00, 90.00, 90.00 degrees
Element x y z (fractional)
Ac 0.500 0.500 0.114
Ac 0.500 0.500 0.306
Ac 0.500 0.500 0.500
Ac 0.500 0.500 0.694
Ac 0.500 0.500 0.886
In 0.000 0.000 0.000
Ge 0.000 0.000 0.207
Ge 0.000 0.000 0.402
Ge 0.000 0.000 0.598
Ge 0.000 0.000 0.793

Below is a geometry-optimized Ac12In2Ge5 structure, with properties calculated at the GGA-PBE level.

Summary:
- SG = C2/m, No. 12
- DFT total energy (eV/cell) = -84.07

Cell lengths 7.852, 10.098, 10.426 Å; angles 103.71, 90.00, 112.88 degrees
Element x y z (fractional)
Ac 0.964 0.927 0.192
Ac 0.081 0.638 0.895
Ac 0.557 0.638 0.895
Ac 0.094 0.701 0.442
Ac 0.607 0.701 0.442
Ac 0.497 0.993 0.713
Ac 0.503 0.007 0.287
Ac 0.906 0.299 0.558
Ac 0.393 0.299 0.558
Ac 0.919 0.362 0.105
Ac 0.443 0.362 0.105
Ac 0.036 0.073 0.808
In 0.687 0.000 0.000
In 0.313 0.000 0.000
Ge 0.299 0.597 0.639
Ge 0.323 0.645 0.181
Ge 0.000 0.000 0.500
Ge 0.677 0.355 0.819
Ge 0.701 0.403 0.361

Below is a geometry-optimized Ac2InGe structure, with properties calculated at the GGA-PBE level.

Summary:
- SG = P4/mmm, No. 123
- DFT total energy (eV/cell) = -17.50

Cell lengths 4.124, 4.124, 7.499 Å; angles 90.00, 90.00, 90.00 degrees
Element x y z (fractional)
Ac 0.000 0.000 0.774
Ac 0.000 0.000 0.226
Ge 0.500 0.500 0.000
In 0.500 0.500 0.500

Below is a geometry-optimized Ac3InGe5 structure, with properties calculated at the GGA-PBE level.

Summary:
- SG = P6_3/mcm, No. 193
- DFT total energy (eV/cell) = -83.54

Cell lengths 6.499, 9.291, 9.291 Å; angles 120.00, 90.00, 90.00 degrees
Element x y z (fractional)
Ac 0.750 0.373 0.000
Ac 0.750 0.627 0.627
Ac 0.750 0.000 0.373
Ac 0.250 0.627 0.000
Ac 0.250 0.373 0.373
Ac 0.250 0.000 0.627
In 0.000 0.000 0.000
In 0.500 0.000 0.000
Ge 0.000 0.333 0.667
Ge 0.500 0.667 0.333
Ge 0.000 0.667 0.333
Ge 0.500 0.333 0.667
Ge 0.750 0.713 0.000
Ge 0.750 0.287 0.287
Ge 0.750 0.000 0.713
Ge 0.250 0.287 0.000
Ge 0.250 0.713 0.713
Ge 0.250 0.000 0.287

Below is a geometry-optimized Ac5In4Ge structure, with properties calculated at the GGA-PBE level.

Summary:
- SG = P4/mmm, No. 123
- DFT total energy (eV/cell) = -40.58

Cell lengths 4.094, 4.094, 20.040 Å; angles 90.00, 90.00, 90.00 degrees
Element x y z (fractional)
Ac 0.500 0.500 0.086
Ac 0.500 0.500 0.294
Ac 0.500 0.500 0.500
Ac 0.500 0.500 0.706
Ac 0.500 0.500 0.914
In 0.000 0.000 0.192
In 0.000 0.000 0.397
In 0.000 0.000 0.603
In 0.000 0.000 0.808
Ge 0.000 0.000 0.000

Below is a geometry-optimized Ac5In2Ge4 structure, with properties calculated at the GGA-PBE level.

Summary:
- SG = C2/m, No. 12
- DFT total energy (eV/cell) = -48.69

Cell lengths 4.759, 7.580, 11.504 Å; angles 114.21, 101.94, 90.00 degrees
Element x y z (fractional)
Ac 0.158 0.891 0.315
Ac 0.842 0.109 0.685
Ac 0.164 0.398 0.329
Ac 0.500 0.000 0.000
Ac 0.836 0.602 0.671
In 0.573 0.544 0.146
In 0.427 0.456 0.854
Ge 0.714 0.712 0.427
Ge 0.989 0.667 0.979
Ge 0.286 0.288 0.573
Ge 0.011 0.333 0.021

Below is a geometry-optimized Ac4In5Ge6 structure, with properties calculated at the GGA-PBE level.

Summary:
- SG = Cmc2_1, No. 36
- DFT total energy (eV/cell) = -128.39

Cell lengths 4.701, 10.891, 16.858 Å; angles 90.00, 90.00, 102.46 degrees
Element x y z (fractional)
Ac 0.957 0.915 0.269
Ac 0.043 0.085 0.769
Ac 0.157 0.314 0.299
Ac 0.843 0.686 0.799
Ac 0.822 0.645 0.453
Ac 0.178 0.355 0.953
Ac 0.019 0.039 0.503
Ac 0.981 0.961 0.003
In 0.454 0.907 0.672
In 0.546 0.093 0.172
In 0.160 0.319 0.627
In 0.840 0.681 0.127
In 0.643 0.285 0.468
In 0.357 0.715 0.968
In 0.310 0.620 0.618
In 0.690 0.380 0.118
In 0.337 0.674 0.286
In 0.663 0.326 0.786
Ge 0.766 0.531 0.265
Ge 0.432 0.864 0.414
Ge 0.785 0.570 0.981
Ge 0.215 0.430 0.481
Ge 0.453 0.906 0.849
Ge 0.547 0.094 0.349
Ge 0.419 0.837 0.133
Ge 0.581 0.163 0.633
Ge 0.101 0.203 0.119
Ge 0.899 0.797 0.619
Ge 0.568 0.136 0.914
Ge 0.234 0.469 0.765

Below is a geometry-optimized Ac2InGe6 structure, with properties calculated at the GGA-PBE level.

Summary:
- SG = P-3m1, No. 164
- DFT total energy (eV/cell) = -41.62

Cell lengths 5.847, 6.530, 6.530 Å; angles 120.00, 90.00, 90.00 degrees
Element x y z (fractional)
Ac 0.845 0.667 0.333
Ac 0.155 0.333 0.667
In 0.000 0.000 0.000
Ge 0.346 0.380 0.190
Ge 0.346 0.810 0.620
Ge 0.346 0.810 0.190
Ge 0.654 0.620 0.810
Ge 0.654 0.190 0.380
Ge 0.654 0.190 0.810

Below is a geometry-optimized Ac4InGe structure, with properties calculated at the GGA-PBE level.

Summary:
- SG = P2_1/m, No. 11
- excess energy over the best structure of this formula in the dataset (eV per atom) = 0.000
- DFT total energy (eV/cell) = -52.03

Cell lengths 6.563, 7.428, 10.683 Å; angles 90.00, 120.81, 90.00 degrees
Element x y z (fractional)
Ac 0.581 0.250 0.446
Ac 0.419 0.750 0.554
Ac 0.708 0.250 0.855
Ac 0.292 0.750 0.145
Ac 0.869 0.008 0.240
Ac 0.131 0.508 0.760
Ac 0.869 0.492 0.240
Ac 0.131 0.992 0.760
In 0.315 0.250 0.079
In 0.685 0.750 0.921
Ge 0.188 0.250 0.536
Ge 0.812 0.750 0.464

Below is a geometry-optimized Ac2InGe2 structure, with properties calculated at the GGA-PBE level.

Summary:
- SG = P4/mbm, No. 127
- DFT total energy (eV/cell) = -47.11

Cell lengths 4.589, 8.023, 8.023 Å; angles 90.00, 90.00, 90.00 degrees
Element x y z (fractional)
Ac 0.500 0.181 0.681
Ac 0.500 0.681 0.819
Ac 0.500 0.819 0.319
Ac 0.500 0.319 0.181
In 0.000 0.000 0.000
In 0.000 0.500 0.500
Ge 0.000 0.386 0.886
Ge 0.000 0.886 0.614
Ge 0.000 0.614 0.114
Ge 0.000 0.114 0.386

For each record above, in turn, the calculated ΔH_f (0 K) values are -0.555, -0.518, -0.327, -0.482, -0.402, -0.446, -0.382, -0.424, -0.329, -0.371, -0.673 eV/atom.